Material: Tb3Y2Sc4
Method: DFT, PBE-GGA
State: relaxed

Output
As for the space group: C2/m. The calculation puts the formation energy at 57 meV/atom. The size of the total moment is 0.00 μB per cell. The total energy comes out at -5.74 eV/atom.

abc: 7.673 7.673 7.681
angles: 107.23 107.23 36.69
Fractional positions:
Tb (0.000, 0.000, 0.000)
Tb (0.449, 0.449, 0.670)
Tb (0.551, 0.551, 0.330)
Y (0.225, 0.225, 0.329)
Y (0.775, 0.775, 0.671)
Sc (0.112, 0.112, 0.671)
Sc (0.330, 0.330, 0.000)
Sc (0.670, 0.670, 0.000)
Sc (0.888, 0.888, 0.329)

=====

Material: Tb5YSc
Method: DFT, PBE-GGA
State: relaxed

Output
As for the space group: Immm. The calculation puts the formation energy at 1000 meV/atom. The size of the total moment is 0.00 μB per cell. The total energy comes out at -4.14 eV/atom.

abc: 7.810 7.810 7.810
angles: 137.11 114.22 81.78
Fractional positions:
Tb (0.000, 0.000, 0.000)
Tb (0.242, 0.742, 0.500)
Tb (0.317, 0.500, 0.817)
Tb (0.683, 0.500, 0.183)
Tb (0.758, 0.258, 0.500)
Y (0.500, 0.000, 0.500)
Sc (0.000, 0.500, 0.500)

=====

Material: Tb8YSc4
Method: DFT, PBE-GGA
State: relaxed

Output
As for the space group: R-3m. The calculation puts the formation energy at 258 meV/atom. The size of the total moment is 0.00 μB per cell. The total energy comes out at -5.04 eV/atom.

abc: 10.007 10.007 10.007
angles: 41.08 41.08 41.08
Fractional positions:
Tb (0.210, 0.753, 0.753)
Tb (0.214, 0.214, 0.214)
Tb (0.247, 0.247, 0.790)
Tb (0.247, 0.790, 0.247)
Tb (0.753, 0.210, 0.753)
Tb (0.753, 0.753, 0.210)
Tb (0.786, 0.786, 0.786)
Tb (0.790, 0.247, 0.247)
Y (0.500, 0.500, 0.500)
Sc (0.000, 0.000, 0.000)
Sc (0.000, 0.500, 0.500)
Sc (0.500, 0.000, 0.500)
Sc (0.500, 0.500, 0.000)

=====

Material: Tb12Y5Sc
Method: DFT, PBE-GGA
State: relaxed

Output
As for the space group: Cmmm. The calculation puts the formation energy at 26 meV/atom. The size of the total moment is 0.00 μB per cell. The total energy comes out at -5.21 eV/atom.

abc: 10.641 10.641 5.016
angles: 90.00 90.00 90.09
Fractional positions:
Tb (0.001, 0.331, 0.500)
Tb (0.165, 0.165, 0.000)
Tb (0.165, 0.499, 0.000)
Tb (0.331, 0.001, 0.500)
Tb (0.332, 0.332, 0.500)
Tb (0.499, 0.165, 0.000)
Tb (0.501, 0.835, 0.000)
Tb (0.668, 0.668, 0.500)
Tb (0.669, 0.999, 0.500)
Tb (0.835, 0.501, 0.000)
Tb (0.835, 0.835, 0.000)
Tb (0.999, 0.669, 0.500)
Y (0.164, 0.836, 0.000)
Y (0.333, 0.667, 0.500)
Y (0.500, 0.500, 0.000)
Y (0.667, 0.333, 0.500)
Y (0.836, 0.164, 0.000)
Sc (0.000, 0.000, 0.500)

=====

Material: Tb11Y9Sc4
Method: DFT, PBE-GGA
State: relaxed

Output
As for the space group: Cmmm. The calculation puts the formation energy at 42 meV/atom. The size of the total moment is 0.01 μB per cell. The total energy comes out at -5.56 eV/atom.

abc: 15.053 15.053 3.577
angles: 90.00 90.00 113.03
Fractional positions:
Tb (0.000, 0.000, 0.000)
Tb (0.047, 0.407, 0.000)
Tb (0.160, 0.840, 0.000)
Tb (0.298, 0.298, 0.000)
Tb (0.371, 0.629, 0.000)
Tb (0.407, 0.047, 0.000)
Tb (0.593, 0.953, 0.000)
Tb (0.629, 0.371, 0.000)
Tb (0.702, 0.702, 0.000)
Tb (0.840, 0.160, 0.000)
Tb (0.953, 0.593, 0.000)
Y (0.073, 0.218, 0.500)
Y (0.166, 0.629, 0.500)
Y (0.218, 0.073, 0.500)
Y (0.371, 0.834, 0.500)
Y (0.500, 0.500, 0.500)
Y (0.629, 0.166, 0.500)
Y (0.782, 0.927, 0.500)
Y (0.834, 0.371, 0.500)
Y (0.927, 0.782, 0.500)
Sc (0.243, 0.446, 0.500)
Sc (0.446, 0.243, 0.500)
Sc (0.554, 0.757, 0.500)
Sc (0.757, 0.554, 0.500)

=====

Material: Tb3YSc4
Method: DFT, PBE-GGA
State: relaxed

Output
As for the space group: Pmn2_1. The calculation puts the formation energy at 34 meV/atom. The size of the total moment is 0.00 μB per cell. The total energy comes out at -5.68 eV/atom.

abc: 10.811 6.975 6.021
angles: 90.00 90.00 90.00
Fractional positions:
Tb (0.000, 0.135, 0.000)
Tb (0.249, 0.865, 0.844)
Tb (0.251, 0.135, 0.344)
Tb (0.500, 0.865, 0.500)
Tb (0.749, 0.135, 0.344)
Tb (0.751, 0.865, 0.844)
Y (0.000, 0.865, 0.498)
Y (0.500, 0.135, 0.998)
Sc (0.000, 0.383, 0.507)
Sc (0.000, 0.615, 0.007)
Sc (0.250, 0.385, 0.833)
Sc (0.250, 0.615, 0.333)
Sc (0.500, 0.385, 0.507)
Sc (0.500, 0.617, 0.007)
Sc (0.750, 0.385, 0.833)
Sc (0.750, 0.615, 0.333)

=====

Material: Tb4Y8Sc
Method: DFT, PBE-GGA
State: relaxed

Output
As for the space group: R-3m. The calculation puts the formation energy at 189 meV/atom. The size of the total moment is 0.00 μB per cell. The total energy comes out at -5.70 eV/atom.

abc: 9.960 9.960 9.960
angles: 42.98 42.98 42.98
Fractional positions:
Tb (0.000, 0.000, 0.000)
Tb (0.000, 0.500, 0.500)
Tb (0.500, 0.000, 0.500)
Tb (0.500, 0.500, 0.000)
Y (0.200, 0.746, 0.746)
Y (0.217, 0.217, 0.217)
Y (0.254, 0.254, 0.800)
Y (0.254, 0.800, 0.254)
Y (0.746, 0.200, 0.746)
Y (0.746, 0.746, 0.200)
Y (0.783, 0.783, 0.783)
Y (0.800, 0.254, 0.254)
Sc (0.500, 0.500, 0.500)

=====

Material: Tb8YSc5
Method: DFT, PBE-GGA
State: relaxed

Output
As for the space group: P1. The calculation puts the formation energy at 202 meV/atom. The size of the total moment is 0.00 μB per cell. The total energy comes out at -5.17 eV/atom.

abc: 8.160 8.208 8.309
angles: 113.01 97.90 117.07
Fractional positions:
Tb (0.000, 0.000, 0.000)
Tb (0.007, 0.397, 0.810)
Tb (0.154, 0.127, 0.509)
Tb (0.210, 0.520, 0.310)
Tb (0.329, 0.867, 0.131)
Tb (0.478, 0.649, 0.761)
Tb (0.594, 0.404, 0.380)
Tb (0.641, 0.149, 0.981)
Y (0.525, 0.119, 0.593)
Sc (0.113, 0.776, 0.652)
Sc (0.395, 0.369, 0.974)
Sc (0.741, 0.873, 0.544)
Sc (0.815, 0.150, 0.341)
Sc (0.883, 0.655, 0.187)

=====

Material: TbY2Sc2
Method: DFT, PBE-GGA
State: relaxed

Output
As for the space group: P2_1/c. The calculation puts the formation energy at 58 meV/atom. The size of the total moment is 0.00 μB per cell. The total energy comes out at -5.99 eV/atom.

abc: 14.128 6.902 5.984
angles: 90.00 98.15 90.00
Fractional positions:
Tb (0.195, 0.125, 0.147)
Tb (0.195, 0.375, 0.647)
Tb (0.805, 0.625, 0.353)
Tb (0.805, 0.875, 0.853)
Y (0.196, 0.626, 0.151)
Y (0.196, 0.874, 0.651)
Y (0.402, 0.124, 0.554)
Y (0.402, 0.376, 0.054)
Y (0.598, 0.624, 0.946)
Y (0.598, 0.876, 0.446)
Y (0.804, 0.126, 0.349)
Y (0.804, 0.374, 0.849)
Sc (0.000, 0.125, 0.751)
Sc (0.000, 0.375, 0.251)
Sc (0.000, 0.625, 0.749)
Sc (0.000, 0.875, 0.249)
Sc (0.401, 0.626, 0.549)
Sc (0.401, 0.874, 0.049)
Sc (0.599, 0.126, 0.951)
Sc (0.599, 0.374, 0.451)

=====

Material: Tb4Y2Sc
Method: DFT, PBE-GGA
State: relaxed

Output
As for the space group: P2_1/m. The calculation puts the formation energy at 137 meV/atom. The size of the total moment is 0.00 μB per cell. The total energy comes out at -5.26 eV/atom.

abc: 6.157 6.480 11.331
angles: 90.00 105.44 90.00
Fractional positions:
Tb (0.046, 0.250, 0.370)
Tb (0.144, 0.250, 0.944)
Tb (0.351, 0.507, 0.215)
Tb (0.351, 0.993, 0.215)
Tb (0.649, 0.007, 0.785)
Tb (0.649, 0.493, 0.785)
Tb (0.856, 0.750, 0.056)
Tb (0.954, 0.750, 0.630)
Y (0.288, 0.750, 0.920)
Y (0.380, 0.750, 0.503)
Y (0.620, 0.250, 0.497)
Y (0.712, 0.250, 0.080)
Sc (0.158, 0.250, 0.665)
Sc (0.842, 0.750, 0.335)

=====

Material: Tb12Y5Sc2
Method: DFT, PBE-GGA
State: relaxed

Output
As for the space group: P-1. The calculation puts the formation energy at 116 meV/atom. The size of the total moment is 0.00 μB per cell. The total energy comes out at -5.18 eV/atom.

abc: 6.726 8.862 10.859
angles: 108.06 92.55 100.46
Fractional positions:
Tb (0.006, 0.120, 0.409)
Tb (0.107, 0.936, 0.092)
Tb (0.124, 0.730, 0.284)
Tb (0.385, 0.357, 0.693)
Tb (0.410, 0.108, 0.884)
Tb (0.412, 0.258, 0.255)
Tb (0.588, 0.742, 0.745)
Tb (0.590, 0.892, 0.116)
Tb (0.615, 0.643, 0.307)
Tb (0.876, 0.270, 0.716)
Tb (0.893, 0.064, 0.908)
Tb (0.994, 0.880, 0.591)
Y (0.087, 0.673, 0.792)
Y (0.246, 0.471, 0.012)
Y (0.500, 0.000, 0.500)
Y (0.754, 0.529, 0.988)
Y (0.913, 0.327, 0.208)
Sc (0.250, 0.543, 0.491)
Sc (0.750, 0.457, 0.509)

=====

Material: Tb7YSc4
Method: DFT, PBE-GGA
State: relaxed

Output
As for the space group: P-1. The calculation puts the formation energy at 23 meV/atom. The size of the total moment is 0.00 μB per cell. The total energy comes out at -5.33 eV/atom.

abc: 6.051 6.989 8.576
angles: 90.06 103.73 90.04
Fractional positions:
Tb (0.000, 0.000, 0.000)
Tb (0.224, 0.499, 0.663)
Tb (0.285, 0.756, 0.340)
Tb (0.497, 0.244, 0.006)
Tb (0.503, 0.756, 0.994)
Tb (0.715, 0.244, 0.660)
Tb (0.776, 0.501, 0.337)
Y (0.000, 0.500, 0.000)
Sc (0.216, 0.000, 0.660)
Sc (0.274, 0.244, 0.338)
Sc (0.726, 0.756, 0.662)
Sc (0.784, 0.000, 0.340)

=====

Material: TbY3Sc4
Method: DFT, PBE-GGA
State: relaxed

Output
As for the space group: Pmn2_1. The calculation puts the formation energy at 32 meV/atom. The size of the total moment is 0.00 μB per cell. The total energy comes out at -6.14 eV/atom.

abc: 10.813 6.987 6.025
angles: 90.00 90.00 90.00
Fractional positions:
Tb (0.000, 0.136, 0.000)
Tb (0.500, 0.864, 0.500)
Y (0.000, 0.866, 0.498)
Y (0.249, 0.865, 0.845)
Y (0.251, 0.135, 0.345)
Y (0.500, 0.134, 0.998)
Y (0.749, 0.135, 0.345)
Y (0.751, 0.865, 0.845)
Sc (0.000, 0.384, 0.510)
Sc (0.000, 0.615, 0.010)
Sc (0.250, 0.384, 0.836)
Sc (0.250, 0.616, 0.336)
Sc (0.500, 0.385, 0.510)
Sc (0.500, 0.616, 0.010)
Sc (0.750, 0.384, 0.836)
Sc (0.750, 0.616, 0.336)

=====

Material: Tb3Y2Sc
Method: DFT, PBE-GGA
State: relaxed

Output
As for the space group: Cmmm. The calculation puts the formation energy at 37 meV/atom. The size of the total moment is 0.00 μB per cell. The total energy comes out at -5.49 eV/atom.

abc: 7.867 7.867 4.964
angles: 90.00 90.00 143.17
Fractional positions:
Tb (0.000, 0.000, 0.000)
Tb (0.336, 0.664, 0.000)
Tb (0.664, 0.336, 0.000)
Y (0.164, 0.836, 0.500)
Y (0.836, 0.164, 0.500)
Sc (0.500, 0.500, 0.500)

=====

Material: TbY2Sc
Method: DFT, PBE-GGA
State: relaxed

Output
As for the space group: Imm2. The calculation puts the formation energy at 24 meV/atom. The size of the total moment is 0.00 μB per cell. The total energy comes out at -5.95 eV/atom.

abc: 6.590 6.590 6.590
angles: 148.55 65.40 124.28
Fractional positions:
Tb (0.000, 0.000, 0.000)
Y (0.097, 0.341, 0.756)
Y (0.586, 0.341, 0.244)
Sc (0.507, 0.007, 0.500)

=====

Material: TbY8Sc6
Method: DFT, PBE-GGA
State: relaxed

Output
As for the space group: P-3. The calculation puts the formation energy at 253 meV/atom. The size of the total moment is 0.00 μB per cell. The total energy comes out at -6.04 eV/atom.

abc: 9.081 9.081 6.448
angles: 90.00 90.00 120.00
Fractional positions:
Tb (0.000, 0.000, 0.000)
Y (0.050, 0.358, 0.390)
Y (0.308, 0.950, 0.390)
Y (0.333, 0.667, 0.746)
Y (0.358, 0.308, 0.610)
Y (0.642, 0.692, 0.390)
Y (0.667, 0.333, 0.254)
Y (0.692, 0.050, 0.610)
Y (0.950, 0.642, 0.610)
Sc (0.057, 0.670, 0.094)
Sc (0.330, 0.387, 0.094)
Sc (0.387, 0.057, 0.906)
Sc (0.613, 0.943, 0.094)
Sc (0.670, 0.613, 0.906)
Sc (0.943, 0.330, 0.906)

=====

Material: Tb6Y4Sc
Method: DFT, PBE-GGA
State: relaxed

Output
As for the space group: Cmcm. The calculation puts the formation energy at 139 meV/atom. The size of the total moment is 0.00 μB per cell. The total energy comes out at -5.31 eV/atom.

abc: 5.574 5.574 25.562
angles: 90.00 90.00 118.95
Fractional positions:
Tb (0.000, 0.000, 0.000)
Tb (0.000, 0.000, 0.500)
Tb (0.021, 0.979, 0.750)
Tb (0.312, 0.688, 0.107)
Tb (0.312, 0.688, 0.393)
Tb (0.356, 0.644, 0.684)
Tb (0.356, 0.644, 0.816)
Tb (0.644, 0.356, 0.184)
Tb (0.644, 0.356, 0.316)
Tb (0.688, 0.312, 0.607)
Tb (0.688, 0.312, 0.893)
Tb (0.979, 0.021, 0.250)
Y (0.026, 0.974, 0.622)
Y (0.026, 0.974, 0.878)
Y (0.342, 0.658, 0.544)
Y (0.342, 0.658, 0.956)
Y (0.658, 0.342, 0.044)
Y (0.658, 0.342, 0.456)
Y (0.974, 0.026, 0.122)
Y (0.974, 0.026, 0.378)
Sc (0.313, 0.687, 0.250)
Sc (0.687, 0.313, 0.750)

=====

Material: TbY4Sc3
Method: DFT, PBE-GGA
State: relaxed

Output
As for the space group: Cmmm. The calculation puts the formation energy at 444 meV/atom. The size of the total moment is 4.56 μB per cell. The total energy comes out at -5.74 eV/atom.

abc: 8.588 8.588 3.313
angles: 90.00 90.00 96.44
Fractional positions:
Tb (0.000, 0.000, 0.000)
Y (0.259, 0.741, 0.000)
Y (0.260, 0.260, 0.500)
Y (0.740, 0.740, 0.500)
Y (0.741, 0.259, 0.000)
Sc (0.000, 0.500, 0.500)
Sc (0.500, 0.000, 0.500)
Sc (0.500, 0.500, 0.000)

=====

Material: Tb5Y4Sc3
Method: DFT, PBE-GGA
State: relaxed

Output
As for the space group: C2/m. The calculation puts the formation energy at 211 meV/atom. The size of the total moment is 0.51 μB per cell. The total energy comes out at -5.46 eV/atom.

abc: 8.496 8.496 9.120
angles: 115.91 115.91 39.38
Fractional positions:
Tb (0.000, 0.000, 0.000)
Tb (0.326, 0.326, 0.621)
Tb (0.425, 0.425, 0.290)
Tb (0.575, 0.575, 0.710)
Tb (0.674, 0.674, 0.379)
Y (0.081, 0.081, 0.438)
Y (0.216, 0.216, 0.878)
Y (0.784, 0.784, 0.122)
Y (0.919, 0.919, 0.562)
Sc (0.213, 0.213, 0.233)
Sc (0.500, 0.500, 0.000)
Sc (0.787, 0.787, 0.767)